Ca2Ac3Sm2: optimized geometry, PBE-GGA.

Properties
DFT formation energy ... 0.40 eV/f.u.
Spin magnetization ... 0.0 μB/cell

Cell: 5.8368 25.8961 3.8213 Å, 90.00 90.00 90.00°
With the nearest neighbours (Å) after each atom.
Space group Cmmm (No. 65)
Asymmetric unit:
1 Ca 0.0000 0.0744 0.0000 x4  1 Sm 3.69, 3 Ca 3.82-3.85, 8 Ac 3.98-4.09
2 Ac 0.0000 0.3430 0.5000 x4  6 Sm 3.79-3.82, 3 Ac 3.82-4.06, 4 Ca 4.09
3 Ac 0.0000 0.5000 0.5000 x2  4 Ac 3.82-4.06, 8 Ca 3.98
4 Sm 0.0000 0.2168 0.0000 x4  2 Sm 3.39, 1 Ca 3.69, 2 Ac 3.79